Below is an optimized crystal structure of Ba2Ga3SiPt4, with properties calculated at the PBE level.

Results
Formation energy without anion corrections in eV/atom: -0.800
SG: P-4m2 (115)

POSCAR file:
```
Ba2Ga3SiPt4
1.0
4.546 0.000 0.000
0.000 4.546 0.000
0.000 0.000 10.258
Ba Ga Si Pt
2 3 1 4
direct
0.000 0.500 0.249
0.500 0.000 0.751
0.000 0.500 0.878
0.500 0.000 0.122
0.500 0.500 0.500
0.000 0.000 0.500
0.000 0.000 0.000
0.000 0.500 0.613
0.500 0.000 0.387
0.500 0.500 0.000
```

Below is an optimized crystal structure of CdAg2Sb2, with properties calculated at the PBE level.

Results
E above lowest polymorph in meV per atom: 0
Formation energy without anion corrections in eV/atom: 0.143
SG: P4/mbm (127)

POSCAR file:
```
CdAg2Sb2
1.0
8.901 0.000 0.000
0.000 8.901 0.000
0.000 0.000 3.073
Cd Ag Sb
2 4 4
direct
0.000 0.000 0.000
0.500 0.500 0.000
0.149 0.351 0.500
0.351 0.851 0.500
0.649 0.149 0.500
0.851 0.649 0.500
0.149 0.649 0.000
0.351 0.149 0.000
0.649 0.851 0.000
0.851 0.351 0.000
```

Below is an optimized crystal structure of Mn2ReRu, with properties calculated at the PBE level.

Results
Formation enthalpy at 0 K in eV per atom: 0.21
SG: Cmmm (65)

POSCAR file:
```
Mn2ReRu
1.0
1.539 -2.127 0.000
1.539 2.127 0.000
0.000 0.000 8.237
Mn Re Ru
2 1 1
direct
0.000 0.000 0.249
0.000 0.000 0.751
0.500 0.500 0.500
0.500 0.500 0.000
```

Below is an optimized crystal structure of Pr3SmPu2S6, with properties calculated at the PBE level.

Results
Formation energy without anion corrections in eV/atom: -1.952
SG: C2/m (12)

POSCAR file:
```
Pr3SmPu2S6
1.0
3.491 -6.046 0.000
3.491 6.046 0.000
-2.323 0.000 6.632
Pr Sm Pu S
3 1 2 6
direct
0.000 0.000 0.000
0.334 0.666 0.000
0.666 0.334 0.000
0.500 0.500 0.500
0.167 0.833 0.500
0.833 0.167 0.500
0.083 0.420 0.261
0.242 0.242 0.738
0.420 0.083 0.261
0.580 0.917 0.739
0.758 0.758 0.262
0.917 0.580 0.739
```

Below is an optimized crystal structure of Hf2TiTl, with properties calculated at the PBE level.

Results
Formation enthalpy at 0 K in eV per atom: 0.09
E above lowest polymorph in meV per atom: 59
SG: R-3m (166)

POSCAR file:
```
Hf2TiTl
1.0
1.598 0.923 9.858
-1.598 0.923 9.858
0.000 -1.845 9.858
Hf Ti Tl
2 1 1
direct
0.245 0.245 0.245
0.755 0.755 0.755
0.500 0.500 0.500
0.000 0.000 0.000
```

Below is an optimized crystal structure of PrCrGa3, with properties calculated at the PBE level.

Results
Formation enthalpy at 0 K in eV per atom: -0.26
SG: Pm-3m (221)

POSCAR file:
```
PrCrGa3
1.0
4.691 0.000 0.000
0.000 4.691 0.000
0.000 0.000 4.691
Pr Cr Ga
1 1 3
direct
0.000 0.000 0.000
0.500 0.500 0.500
0.000 0.500 0.500
0.500 0.000 0.500
0.500 0.500 0.000
```

Below is an optimized crystal structure of Li2YW, with properties calculated at the PBE level.

Results
Formation enthalpy at 0 K in eV per atom: 0.45
E above lowest polymorph in meV per atom: 0
SG: P4mm (99)

POSCAR file:
```
Li2YW
1.0
2.917 0.000 0.000
0.000 2.917 0.000
0.000 0.000 9.348
Li Y W
2 1 1
direct
0.000 0.000 0.000
0.500 0.500 0.237
0.500 0.500 0.701
0.000 0.000 0.453
```

Below is an optimized crystal structure of MgAsC3, with properties calculated at the PBE level.

Results
Formation enthalpy at 0 K in eV per atom: 3.04
E above lowest polymorph in meV per atom: 753
SG: Pm-3m (221)

POSCAR file:
```
MgAsC3
1.0
4.111 0.000 0.000
0.000 4.111 0.000
0.000 0.000 4.111
Mg As C
1 1 3
direct
0.000 0.000 0.000
0.500 0.500 0.500
0.000 0.000 0.500
0.000 0.500 0.000
0.500 0.000 0.000
```